Record 1
# BaLa4Pb5 (PBE, optimized geometry)
# Raw total energy (eV/atom): -4.57
# ΔE_f (eV per atom): -0.5523
# Total moment (μB per formula unit): 1.10
data_BaLa4Pb5
_space_group_name_H-M_alt 'P 4/m m m'
_space_group_IT_number 123
_space_group_name_Hall '-P 4 2'
_cell_length_a 4.295
_cell_length_b 4.295
_cell_length_c 18.220
_cell_angle_alpha 90.00
_cell_angle_beta 90.00
_cell_angle_gamma 90.00
loop_
_atom_site_label
_atom_site_fract_x
_atom_site_fract_y
_atom_site_fract_z
_atom_site_occupancy
Ba1 0.000 0.000 0.000 1
La1 0.000 0.000 0.217 1
La2 0.000 0.000 0.404 1
Pb1 0.500 0.500 0.123 1
Pb2 0.500 0.500 0.308 1
Pb3 0.500 0.500 0.500 1

***

Record 2
# SrLiCa3 (PBE, optimized geometry)
# Raw total energy (eV/atom): -1.78
# ΔE_f (eV per atom): 0.1449
# Energy relative to the lowest polymorph listed for this composition (meV/atom): 45
# Total moment (μB per formula unit): 0.00
data_SrLiCa3
_space_group_name_H-M_alt 'I 4 m m'
_space_group_IT_number 107
_space_group_name_Hall 'I 4 -2'
_cell_length_a 5.015
_cell_length_b 5.015
_cell_length_c 17.004
_cell_angle_alpha 90.00
_cell_angle_beta 90.00
_cell_angle_gamma 90.00
loop_
_atom_site_label
_atom_site_fract_x
_atom_site_fract_y
_atom_site_fract_z
_atom_site_occupancy
Sr1 0.000 0.000 0.000 1
Li1 0.000 0.000 0.564 1
Ca1 0.000 0.000 0.371 1
Ca2 0.000 0.500 0.200 1

***

Record 3
# LaCoSe2 (PBE, optimized geometry)
# Raw total energy (eV/atom): -5.59
# Formation energy from raw total energies (eV per atom): -0.8416
# Energy relative to the lowest polymorph listed for this composition (meV/atom): 198
# Total moment (μB per formula unit): 2.00
data_LaCoSe2
_space_group_name_H-M_alt 'I -4 2 d'
_space_group_IT_number 122
_space_group_name_Hall 'I -4 2bw'
_cell_length_a 5.840
_cell_length_b 5.840
_cell_length_c 13.041
_cell_angle_alpha 90.00
_cell_angle_beta 90.00
_cell_angle_gamma 90.00
loop_
_atom_site_label
_atom_site_fract_x
_atom_site_fract_y
_atom_site_fract_z
_atom_site_occupancy
La1 0.000 0.000 0.000 1
Co1 0.000 0.000 0.500 1
Se1 0.175 0.250 0.625 1

***

Record 4
# KU2HgTe4 (PBE, optimized geometry)
# Raw total energy (eV/atom): -5.06
# Formation energy from raw total energies (eV per atom): -0.4916
# Total moment (μB per formula unit): 5.35
data_KU2HgTe4
_space_group_name_H-M_alt 'C m c m'
_space_group_IT_number 63
_space_group_name_Hall '-C 2c 2'
_cell_length_a 4.373
_cell_length_b 15.332
_cell_length_c 15.994
_cell_angle_alpha 90.00
_cell_angle_beta 90.00
_cell_angle_gamma 90.00
loop_
_atom_site_label
_atom_site_fract_x
_atom_site_fract_y
_atom_site_fract_z
_atom_site_occupancy
K1 0.000 0.150 0.250 1
U1 0.000 0.374 0.081 1
Hg1 0.000 0.151 0.750 1
Te1 0.000 0.000 0.000 1
Te2 0.000 0.273 0.593 1
Te3 0.000 0.484 0.250 1